# KSnHgAu

Crystalline KSnHgAu at its relaxed geometry (PBE, Alexandria).

Properties
calculated total energy: -9.1 eV per cell
energy above the most stable polymorph in this dataset: 0.086 eV/atom
DFT formation energy: -0.102 eV/atom
calculated volume: 104.4 Å³ per cell
space-group type: F-43m, No. 216
magnetic moment: 0.00 μB/f.u.

Unit cell a=5.2857 b=5.2857 c=5.2857 alpha=60.00 beta=60.00 gamma=60.00
Closest atoms and distances in Å follow each position.
Element x y z (fractional)
K 0.0000 0.0000 0.0000  4 Au 3.24, 4 Hg 3.24
Sn 0.5000 0.5000 0.5000  4 Au 3.24, 4 Hg 3.24
Hg 0.2500 0.2500 0.2500  4 Sn 3.24, 4 K 3.24
Au 0.7500 0.7500 0.7500  4 K 3.24, 4 Sn 3.24